(1)
NaTlHgF6 (GGA-PBE, optimized geometry); crystal system = tetragonal; energy relative to the elements, uncorrected = -1.9298 eV per atom; N(E_F) = 0.00 states/eV per cell; magnetic moment = 0.00 μB/f.u.; volume = 16.6 Å³ per atom; total DFT energy (no corrections) = -3.620 eV per atom
1.0
5.245 0.000 0.000
0.000 5.245 0.000
0.000 0.000 10.831
Na Tl Hg F
2 2 2 12
Cartesian
2.622 2.622 5.409 Na
0.000 0.000 10.824 Na
2.622 2.622 9.034 Tl
0.000 0.000 3.619 Tl
2.622 2.622 1.801 Hg
0.000 0.000 7.216 Hg
0.997 4.247 5.320 F
4.247 0.997 5.320 F
1.625 1.625 10.735 F
3.620 3.620 10.735 F
0.991 4.253 1.900 F
4.253 0.991 1.900 F
1.631 1.631 7.315 F
3.614 3.614 7.315 F
4.179 1.066 9.027 F
1.066 4.179 9.027 F
3.688 3.688 3.612 F
1.557 1.557 3.612 F



(2)
P2RhPb (GGA-PBE, optimized geometry); crystal system = tetragonal; formation enthalpy at 0 K = 208 kJ/mol of formula units; N(E_F) = 3.66 states/eV per cell; magnetic moment = 0.00 μB/f.u.; volume = 18.0 Å³ per atom; total DFT energy (no corrections) = -4.932 eV per atom
1.0
-1.518 -4.470 -0.390
3.990 -1.157 -2.277
1.391 -0.716 2.801
P Pb Rh
2 1 1
Cartesian
0.000 0.000 0.000 P
1.236 -2.814 -1.333 P
-0.064 -2.593 1.206 Pb
2.690 -0.937 0.262 Rh



(3)
CsBaP (GGA-PBE, optimized geometry); crystal system = triclinic; formation enthalpy at 0 K = -167 kJ/mol of formula units; N(E_F) = 3.70 states/eV per cell; magnetic moment = 0.00 μB/f.u.; volume = 52.1 Å³ per atom; total DFT energy (no corrections) = -3.304 eV per atom
1.0
4.828 0.001 0.002
-0.001 4.446 0.000
4.637 -2.238 14.552
Cs P Ba
2 2 2
Cartesian
3.483 3.784 2.098 Cs
5.895 1.559 11.374 Cs
5.897 -0.660 8.710 P
3.482 1.560 4.761 P
5.897 -0.662 5.419 Ba
3.483 1.563 8.052 Ba



(4)
HfPaTe2 (GGA-PBE, optimized geometry); crystal system = trigonal; energy relative to the elements, uncorrected = -0.1799 eV per atom; N(E_F) = 7.20 states/eV per cell; magnetic moment = 1.12 μB/f.u.; volume = 28.5 Å³ per atom; total DFT energy (no corrections) = -6.613 eV per atom
1.0
3.597 0.000 0.000
1.799 3.115 0.000
1.799 1.038 10.186
Te Pa Hf
2 1 1
Cartesian
1.799 1.038 7.066 Te
5.396 3.115 3.120 Te
0.000 0.000 0.000 Pa
3.597 2.077 5.093 Hf



(5)
Tb3Te2As (GGA-PBE, optimized geometry); crystal system = orthorhombic; energy relative to the elements, uncorrected = -1.4388 eV per atom; N(E_F) = 2.40 states/eV per cell; magnetic moment = 0.00 μB/f.u.; volume = 28.1 Å³ per atom; total DFT energy (no corrections) = -5.576 eV per atom
1.0
-3.504 1.663 1.716
-3.314 -4.384 -2.519
4.265 -2.366 5.761
Tb Te As
3 2 1
Cartesian
-3.276 -0.634 1.787 Tb
0.723 -4.453 3.171 Tb
0.380 -0.352 3.738 Tb
-4.983 -2.610 0.216 Te
2.430 -2.477 4.742 Te
-1.277 -2.544 2.479 As



(6)
CuSiPt (GGA-PBE, optimized geometry); crystal system = trigonal; energy relative to the elements, uncorrected = -0.1744 eV per atom; N(E_F) = 1.48 states/eV per cell; magnetic moment = 0.00 μB/f.u.; volume = 14.0 Å³ per atom; total DFT energy (no corrections) = -5.361 eV per atom
1.0
-0.778 -2.320 1.495
2.453 1.349 0.621
-2.872 3.447 3.856
Cu Pt Si
1 1 1
Cartesian
-2.811 3.373 3.773 Cu
0.363 1.341 2.271 Pt
-1.623 1.209 3.783 Si



(7)
Ac4La15In (GGA-PBE, optimized geometry); crystal system = tetragonal; formation enthalpy at 0 K = -84 kJ/mol of formula units; N(E_F) = 32.11 states/eV per cell; magnetic moment = 0.00 μB/f.u.; volume = 37.2 Å³ per atom; total DFT energy (no corrections) = -4.698 eV per atom
1.0
-1.813 -4.890 -0.972
4.891 -1.945 0.661
-4.807 -3.339 25.758
Ac La In
4 15 1
Cartesian
-0.934 -0.649 5.004 Ac
-1.916 -1.331 10.267 Ac
-2.891 -2.008 15.491 Ac
-3.873 -2.690 20.754 Ac
1.539 -3.417 -0.156 La
0.609 -4.063 4.828 La
-0.375 -4.747 10.101 La
-1.354 -5.427 15.346 La
-2.338 -6.110 20.619 La
-1.353 -2.755 1.905 La
-2.326 -3.431 7.120 La
-3.310 -4.114 12.393 La
-4.294 -4.798 17.666 La
-5.268 -5.474 22.881 La
1.999 -1.282 2.721 La
1.026 -1.958 7.937 La
0.042 -2.642 13.209 La
-0.942 -3.325 18.482 La
-1.916 -4.001 23.698 La
0.000 0.000 0.000 In



(8)
CrNiSe2 (GGA-PBE, optimized geometry); crystal system = tetragonal; energy relative to the elements, uncorrected = -0.2237 eV per atom; N(E_F) = 5.59 states/eV per cell; magnetic moment = 2.00 μB/f.u.; volume = 21.0 Å³ per atom; total DFT energy (no corrections) = -5.817 eV per atom
1.0
-3.091 3.602 2.803
0.957 -2.799 4.652
3.400 3.500 4.672
Ni Se Cr
2 4 2
Cartesian
0.000 0.000 0.000 Ni
-0.379 3.752 5.601 Ni
-0.994 2.814 3.531 Se
1.094 -0.462 4.397 Se
1.740 2.955 6.252 Se
0.693 3.298 10.075 Se
-1.067 0.402 3.727 Cr
1.645 0.551 6.526 Cr



(9)
PmSm2Y3Ho6 (GGA-PBE, optimized geometry); crystal system = monoclinic; formation enthalpy at 0 K = 22 kJ/mol of formula units; N(E_F) = 16.62 states/eV per cell; magnetic moment = 0.00 μB/f.u.; volume = 32.0 Å³ per atom; total DFT energy (no corrections) = -5.068 eV per atom
1.0
-0.712 1.024 -6.048
-4.692 -2.262 3.318
-1.824 11.221 3.161
Pm Sm Y Ho
1 2 3 6
Cartesian
0.000 0.000 0.000 Pm
-3.365 -1.167 0.195 Sm
-2.038 -0.072 -2.926 Sm
-4.940 3.896 3.337 Y
-2.287 6.086 -2.906 Y
-3.614 4.991 0.215 Y
-4.747 8.021 -1.239 Ho
-4.518 1.891 -1.257 Ho
-2.480 1.962 1.670 Ho
-6.074 6.925 1.884 Ho
-2.709 8.092 1.687 Ho
-1.153 3.058 -1.453 Ho



(10)
TiSiOsPd2 (GGA-PBE, optimized geometry); crystal system = tetragonal; energy relative to the elements, uncorrected = 0.9638 eV per atom; N(E_F) = 9.78 states/eV per cell; magnetic moment = 0.03 μB/f.u.; volume = 20.9 Å³ per atom; total DFT energy (no corrections) = -6.023 eV per atom
1.0
-3.121 1.456 -3.434
2.257 -2.828 -3.250
-2.700 -3.346 1.036
Si Os Pd Ti
1 1 2 1
Cartesian
-1.350 -1.673 0.518 Si
0.000 0.000 0.000 Os
1.128 -1.414 -1.625 Pd
-1.561 0.728 -1.717 Pd
-1.782 -2.359 -2.824 Ti



(11)
Al3Pb (GGA-PBE, optimized geometry); crystal system = trigonal; formation enthalpy at 0 K = 77 kJ/mol of formula units; N(E_F) = 0.97 states/eV per cell; magnetic moment = 0.00 μB/f.u.; volume = 21.5 Å³ per atom; total DFT energy (no corrections) = -3.535 eV per atom
1.0
-4.906 -5.815 -7.274
-2.097 -7.096 -7.487
-4.094 -8.093 -5.343
Pb Al
1 3
Cartesian
0.000 0.000 0.000 Pb
-8.445 -15.984 -15.299 Al
-5.549 -10.502 -10.052 Al
-2.653 -5.021 -4.806 Al



(12)
Np2PRu3 (GGA-PBE, optimized geometry); crystal system = trigonal; formation enthalpy at 0 K = -246 kJ/mol of formula units; N(E_F) = 9.95 states/eV per cell; magnetic moment = 5.35 μB/f.u.; volume = 16.4 Å³ per atom; total DFT energy (no corrections) = -10.278 eV per atom
1.0
-3.225 2.543 2.652
-3.956 -2.702 0.974
0.025 -1.493 4.655
Np P Ru
2 1 3
Cartesian
-2.704 -0.624 3.130 Np
-4.451 -1.028 5.152 Np
0.000 0.000 0.000 P
0.013 -0.746 2.328 Ru
-1.612 1.271 1.326 Ru
-1.978 -1.351 0.487 Ru



> Which of these has the highest magnetic moment?

Np2PRu3